Tc2HgRh: single point on PBEsol structure, SCAN.

Unit cell a=2.7577 b=3.8623 c=5.6933 alpha=90.00 beta=90.00 gamma=90.00
Space group Pmm2 (No. 25)
Symmetry-distinct sites (fractional):
Tc: 0.0000 0.0000 0.0000 x1
Tc: 0.5000 0.5000 0.2041 x1
Hg: 0.0000 0.0000 0.4932 x1
Rh: 0.5000 0.5000 0.7564 x1

Output
- Energy relative to the elements: 257.6 meV/atom

K4BeRe: single point on PBEsol structure, SCAN.

Unit cell a=9.4148 b=9.4148 c=9.4148 alpha=90.00 beta=90.00 gamma=90.00
Space group F-43m (No. 216)
Symmetry-distinct sites (fractional):
K: 0.1249 0.1249 0.1249 x16
Be: 0.2500 0.2500 0.7500 x4
Re: 0.0000 0.0000 0.5000 x4

Output
- Energy relative to the elements: 1715.4 meV/atom

KCuW2: single point on PBEsol structure, SCAN.

Unit cell a=8.7297 b=2.5995 c=7.4660 alpha=90.00 beta=92.08 gamma=90.00
Space group Cm (No. 8)
Symmetry-distinct sites (fractional):
K: 0.0000 0.0000 0.0000 x2
Cu: 0.2472 0.0000 0.6658 x2
W: 0.0136 0.5000 0.5183 x2
W: 0.2645 0.5000 0.3516 x2

Output
- Excess energy over the best structure of this formula in the dataset: 0.000 eV/atom
- Energy relative to the elements: 1041.9 meV/atom

BeOs: single point on PBEsol structure, SCAN.

Unit cell a=2.6827 b=2.6827 c=7.3857 alpha=90.00 beta=90.00 gamma=120.00
Space group P6_3/mmc (No. 194)
Symmetry-distinct sites (fractional):
Be: 0.3333 0.6667 0.2500 x2
Os: 0.0000 0.0000 0.0000 x2

Output
- Energy relative to the elements: -89.3 meV/atom

LaScPb2: single point on PBEsol structure, SCAN.

Unit cell a=3.5795 b=3.5795 c=29.8830 alpha=90.00 beta=90.00 gamma=120.00
Space group R-3m (No. 166, hexagonal axes)
Symmetry-distinct sites (fractional):
La: 0.0000 0.0000 0.0000 x3
Sc: 0.0000 0.0000 0.5000 x3
Pb: 0.0000 0.0000 0.2429 x6

Output
- Energy relative to the elements: -485.0 meV/atom

ZrZnSb2: single point on PBEsol structure, SCAN.

Unit cell a=3.1948 b=3.1948 c=32.0783 alpha=90.00 beta=90.00 gamma=120.00
Space group R3m (No. 160, hexagonal axes)
Symmetry-distinct sites (fractional):
Zr: 0.0000 0.0000 0.0000 x3
Zn: 0.0000 0.0000 0.2625 x3
Sb: 0.0000 0.0000 0.5255 x3
Sb: 0.0000 0.0000 0.7432 x3

Output
- ΔE_f (raw): -0.004 eV per atom

ZnSnO2: single point on PBEsol structure, SCAN.

Unit cell a=3.1753 b=3.1753 c=22.2921 alpha=90.00 beta=90.00 gamma=120.00
Space group R-3m (No. 166, hexagonal axes)
Symmetry-distinct sites (fractional):
Zn: 0.0000 0.0000 0.0000 x3
Sn: 0.0000 0.0000 0.5000 x3
O: 0.0000 0.0000 0.1198 x6

Output
- ΔE_f (raw): -0.973 eV per atom
- Excess energy over the best structure of this formula in the dataset: 0.384 eV/atom

SnBIrN2: single point on PBEsol structure, SCAN.

Unit cell a=3.5702 b=3.5702 c=4.6559 alpha=90.00 beta=90.00 gamma=90.00
Space group P4/mmm (No. 123)
Symmetry-distinct sites (fractional):
Sn: 0.0000 0.0000 0.0000 x1
B: 0.5000 0.5000 0.5000 x1
Ir: 0.5000 0.5000 0.0000 x1
N: 0.0000 0.5000 0.5000 x2

Output
- ΔE_f (raw): 1.460 eV per atom

CaTe2Rh: single point on PBEsol structure, SCAN.

Unit cell a=3.7466 b=5.0367 c=11.2657 alpha=90.00 beta=90.00 gamma=90.00
Space group Immm (No. 71)
Symmetry-distinct sites (fractional):
Ca: 0.0000 0.0000 0.0000 x2
Te: 0.0000 0.5000 0.1630 x4
Rh: 0.0000 0.0000 0.5000 x2

Output
- ΔE_f (raw): -0.743 eV per atom
- Excess energy over the best structure of this formula in the dataset: 0.170 eV/atom

ZnCrI2: single point on PBEsol structure, SCAN.

Unit cell a=7.3213 b=7.3213 c=7.3213 alpha=90.00 beta=90.00 gamma=90.00
Space group Fm-3m (No. 225)
Symmetry-distinct sites (fractional):
Zn: 0.0000 0.0000 0.0000 x4
Cr: 0.0000 0.0000 0.5000 x4
I: 0.2500 0.2500 0.2500 x8

Output
- ΔE_f (raw): 0.289 eV per atom

CaEr2Ge4O12: single point on PBEsol structure, SCAN.

Unit cell a=14.0447 b=14.0588 c=5.0445 alpha=90.00 beta=90.00 gamma=90.00
Space group Cmme (No. 67)
Symmetry-distinct sites (fractional):
Ca: 0.2500 0.2500 0.0000 x4
Er: 0.0000 0.0000 0.0000 x4
Er: 0.2500 0.0000 0.0000 x4
Ge: 0.1155 0.1344 0.4957 x16
O: 0.0000 0.1223 0.3295 x8
O: 0.1153 0.0557 0.7609 x16
O: 0.1195 0.2500 0.6492 x8
O: 0.1982 0.1262 0.2457 x16

Output
- ΔE_f (raw): -2.613 eV per atom

HPbN2F: single point on PBEsol structure, SCAN.

Unit cell a=4.4604 b=4.4604 c=4.4664 alpha=90.00 beta=90.00 gamma=90.00
Space group P4/mmm (No. 123)
Symmetry-distinct sites (fractional):
H: 0.0000 0.0000 0.0000 x1
Pb: 0.5000 0.5000 0.5000 x1
N: 0.0000 0.5000 0.5000 x2
F: 0.5000 0.5000 0.0000 x1

Ba2NbInO6: single point on PBEsol structure, SCAN.

Unit cell a=8.3164 b=8.3164 c=8.3164 alpha=90.00 beta=90.00 gamma=90.00
Space group Fm-3m (No. 225)
Symmetry-distinct sites (fractional):
Ba: 0.2500 0.2500 0.2500 x8
Nb: 0.0000 0.0000 0.0000 x4
In: 0.0000 0.0000 0.5000 x4
O: 0.0000 0.0000 0.2408 x24

Output
- ΔE_f (raw): -2.823 eV per atom

HfTl3Te: single point on PBEsol structure, SCAN.

Unit cell a=5.6190 b=5.6190 c=5.6190 alpha=90.00 beta=90.00 gamma=90.00
Space group Pm-3m (No. 221)
Symmetry-distinct sites (fractional):
Hf: 0.0000 0.0000 0.0000 x1
Tl: 0.0000 0.5000 0.5000 x3
Te: 0.5000 0.5000 0.5000 x1

Output
- ΔE_f (raw): 1.212 eV per atom

Sr2Si2Pb: single point on PBEsol structure, SCAN.

Unit cell a=5.0940 b=5.0940 c=11.6182 alpha=90.00 beta=90.00 gamma=90.00
Space group I4/mmm (No. 139)
Symmetry-distinct sites (fractional):
Sr: 0.0000 0.5000 0.2500 x4
Si: 0.0000 0.0000 0.0955 x4
Pb: 0.0000 0.0000 0.5000 x2

Output
- ΔE_f (raw): 0.042 eV per atom

Na2CrH2F8: single point on PBEsol structure, SCAN.

Unit cell a=7.3471 b=7.9904 c=5.3495 alpha=90.00 beta=114.51 gamma=90.00
Space group C2/m (No. 12)
Symmetry-distinct sites (fractional):
Na: 0.0000 0.2310 0.0000 x4
Cr: 0.0000 0.5000 0.5000 x2
H: 0.1635 0.0000 0.7219 x4
F: 0.0466 0.0000 0.7702 x4
F: 0.1434 0.5000 0.2794 x4
F: 0.1591 0.3398 0.7231 x8

BeCrPb: single point on PBEsol structure, SCAN.

Unit cell a=3.1254 b=3.1254 c=9.5677 alpha=90.00 beta=90.00 gamma=90.00
Space group I4mm (No. 107)
Symmetry-distinct sites (fractional):
Be: 0.0000 0.0000 0.0000 x2
Cr: 0.0000 0.0000 0.4103 x2
Pb: 0.0000 0.0000 0.7100 x2

Output
- Energy relative to the elements: 537.1 meV/atom

GaHPd3: single point on PBEsol structure, SCAN.

Unit cell a=3.9133 b=3.9133 c=3.9133 alpha=90.00 beta=90.00 gamma=90.00
Space group Pm-3m (No. 221)
Symmetry-distinct sites (fractional):
Ga: 0.0000 0.0000 0.0000 x1
H: 0.5000 0.5000 0.5000 x1
Pd: 0.0000 0.5000 0.5000 x3

Output
- Excess energy over the best structure of this formula in the dataset: 0.015 eV/atom

CrCuRe2: single point on PBEsol structure, SCAN.

Unit cell a=8.8269 b=2.7478 c=4.4305 alpha=90.00 beta=102.67 gamma=90.00
Space group Cm (No. 8)
Symmetry-distinct sites (fractional):
Cr: 0.0000 0.0000 0.0000 x2
Cu: 0.2506 0.0000 0.7537 x2
Re: 0.2426 0.5000 0.2431 x2
Re: 0.4960 0.0000 0.5018 x2

Output
- Energy relative to the elements: 243.5 meV/atom

LaPF2: single point on PBEsol structure, SCAN.

Unit cell a=3.9610 b=3.9610 c=16.8880 alpha=90.00 beta=90.00 gamma=120.00
Space group R-3m (No. 166, hexagonal axes)
Symmetry-distinct sites (fractional):
La: 0.0000 0.0000 0.0000 x3
P: 0.0000 0.0000 0.5000 x3
F: 0.0000 0.0000 0.2973 x6

Output
- ΔE_f (raw): -2.477 eV per atom
- Excess energy over the best structure of this formula in the dataset: 0.000 eV/atom

FePt5: single point on PBEsol structure, SCAN.

Unit cell a=2.7316 b=2.7316 c=11.6152 alpha=90.00 beta=90.00 gamma=90.00
Space group P4/mmm (No. 123)
Symmetry-distinct sites (fractional):
Fe: 0.0000 0.0000 0.0000 x1
Pt: 0.0000 0.0000 0.3285 x2
Pt: 0.5000 0.5000 0.1526 x2
Pt: 0.5000 0.5000 0.5000 x1

Output
- Energy relative to the elements: -150.7 meV/atom

Cs2SiPPd: single point on PBEsol structure, SCAN.

Unit cell a=6.7493 b=6.7493 c=4.3316 alpha=90.00 beta=90.00 gamma=90.00
Space group P4/mmm (No. 123)
Symmetry-distinct sites (fractional):
Cs: 0.0000 0.5000 0.0000 x2
Si: 0.0000 0.0000 0.5000 x1
P: 0.0000 0.0000 0.0000 x1
Pd: 0.5000 0.5000 0.5000 x1

Output
- ΔE_f (raw): 0.457 eV per atom

InHgBr: single point on PBEsol structure, SCAN.

Unit cell a=4.6288 b=4.6288 c=4.8915 alpha=90.00 beta=90.00 gamma=120.00
Space group P3m1 (No. 156)
Symmetry-distinct sites (fractional):
In: 0.0000 0.0000 0.0000 x1
Hg: 0.6667 0.3333 0.2872 x1
Br: 0.3333 0.6667 0.6836 x1

Output
- ΔE_f (raw): -0.406 eV per atom
- Excess energy over the best structure of this formula in the dataset: 0.000 eV/atom

NaEuS2: single point on PBEsol structure, SCAN.

Unit cell a=4.0487 b=4.0487 c=19.5341 alpha=90.00 beta=90.00 gamma=120.00
Space group R-3m (No. 166, hexagonal axes)
Symmetry-distinct sites (fractional):
Na: 0.0000 0.0000 0.0000 x3
Eu: 0.0000 0.0000 0.5000 x3
S: 0.0000 0.0000 0.2439 x6

Output
- ΔE_f (raw): -1.729 eV per atom

Ce7ZrO16: single point on PBEsol structure, SCAN.

Unit cell a=7.5766 b=7.5766 c=5.3534 alpha=90.00 beta=90.00 gamma=90.00
Space group P4/mmm (No. 123)
Symmetry-distinct sites (fractional):
Ce: 0.0000 0.0000 0.0000 x1
Ce: 0.0000 0.5000 0.0000 x2
Ce: 0.2531 0.2531 0.5000 x4
Zr: 0.5000 0.5000 0.0000 x1
O: 0.0000 0.2522 0.2508 x8
O: 0.2589 0.5000 0.2424 x8

Output
- ΔE_f (raw): -3.756 eV per atom

SrIn3Ir: single point on PBEsol structure, SCAN.

Unit cell a=5.7198 b=5.7198 c=5.7198 alpha=90.00 beta=90.00 gamma=90.00
Space group Pm-3m (No. 221)
Symmetry-distinct sites (fractional):
Sr: 0.0000 0.0000 0.0000 x1
In: 0.0000 0.0000 0.5000 x3
Ir: 0.5000 0.5000 0.5000 x1

Output
- Energy relative to the elements: 1911.3 meV/atom

Looking at raw total energy for the records above, in order, we have -42.757, -16.412, -39.684, -38.206, -52.711, -29.687, -16.448, -25.146, -30.227, -26.056, -16.375, -18.877, -21.123, -62.188, -28.030, -7.306, -32.303, -24.056, -43.701, -17.623, -61.666, -25.305, -40.744, -21.025, -22.187, -36.795 eV per atom.
Looking at total magnetization for the records above, in order, we have 0.000, 3.221, 0.000, 0.000, 0.000, 0.000, 0.000, 2.977, 0.000, 4.194, 0.000, 4.338, 0.000, 1.906, 0.002, 2.000, 1.990, 0.000, 0.000, 0.001, 3.371, 0.000, 0.000, 6.000, 0.000, 0.427 μB/f.u..